18
Lattice="5.1781 0.0000 0.0000 -2.5890 4.4844 0.0000 0.0000 0.0000 8.7717" Properties=species:S:1:pos:R:3 comment="PBE+U MnPdPtO6, relaxed" spacegroup="P-31c, No. 163" vol_a3_per_atom=11.3 total_energy_ev_per_atom=-5.9978 total_magnetization_mub_per_cell=5.88 pbc="T T T"
Mn 0.0000 0.0000 0.0000
Mn 0.0000 0.0000 4.3858
Pd 0.0000 2.9896 2.1929
Pd 2.5891 1.4948 6.5788
Pt 0.0000 2.9896 6.5788
Pt 2.5891 1.4948 2.1929
O -0.8937 1.5730 5.4861
O -1.6737 2.9239 7.6714
O 0.8937 1.5730 7.6714
O -0.7800 4.4719 5.4861
O 1.8091 0.0125 1.1003
O 0.9154 1.5605 3.2855
O 1.6737 2.9239 5.4861
O 0.7800 4.4719 7.6714
O 3.3690 0.0125 3.2855
O 1.6953 2.9114 1.1003
O 4.2627 1.5605 1.1003
O 3.4828 2.9114 3.2855